# 1
Computed, not measured: a relaxed LiAc2BiS5 crystal at the GGA-PBE level of DFT.

a = 4.1793 Å, b = 8.9232 Å, c = 12.1923 Å
α = 90.00°, β = 90.00°, γ = 103.54°
With the nearest neighbours (Å) after each atom.
Fractional coordinates of all 18 atoms:
Li 0.5142 0.0284 0.9818  4 S 2.37-2.60
Li 0.4858 0.9716 0.4818  4 S 2.37-2.60
Ac 0.8786 0.7573 0.8017  8 S 3.01-3.21
Ac 0.1106 0.2213 0.6869  8 S 3.05-3.20
Ac 0.1214 0.2427 0.3017  8 S 3.01-3.21
Ac 0.8894 0.7787 0.1869  8 S 3.05-3.20
Bi 0.8055 0.6110 0.5034  6 S 2.67-2.95
Bi 0.1945 0.3890 0.0034  6 S 2.67-2.95
S 0.3648 0.7296 0.0004  1 Li 2.60
S 0.6986 0.3972 0.8418  2 Bi 2.87, 3 Ac 3.16-3.20
S 0.5029 0.0059 0.7846  1 Li 2.41
S 0.2879 0.5758 0.6622  2 Bi 2.87, 3 Ac 3.09-3.12
S 0.9536 0.9072 0.5612  2 Li 2.37
S 0.6352 0.2704 0.5004  1 Li 2.60
S 0.3014 0.6028 0.3418  2 Bi 2.87, 3 Ac 3.16-3.20
S 0.4971 0.9941 0.2846  1 Li 2.41
S 0.7121 0.4242 0.1622  2 Bi 2.87, 3 Ac 3.09-3.12
S 0.0464 0.0928 0.0612  2 Li 2.37

Computed properties:
Raw formation energy in eV per formula unit: -13.8
Calculated density in g cm⁻³: 6.238
Symmetry: Cmc2_1
Calculated volume in Å³/atom: 24.56

***

# 2
Computed, not measured: a relaxed Li4Ac2BiSb3 crystal at the GGA-PBE level of DFT.

a = 4.8334 Å, b = 4.8334 Å, c = 10.9407 Å
α = 90.00°, β = 90.00°, γ = 90.00°
With the nearest neighbours (Å) after each atom.
Fractional coordinates of all 10 atoms:
Li 0.5000 0.5000 0.0000  4 Sb 2.84
Li 0.0000 0.0000 0.0000  4 Sb 2.84
Li 0.5000 0.0000 0.6227  3 Sb 2.63-2.76, 2 Bi 2.76
Li 0.0000 0.5000 0.3773  3 Sb 2.63-2.76, 2 Bi 2.76
Ac 0.5000 0.0000 0.2554  2 Bi 3.61, 6 Sb 3.61-3.66, 9 Li 3.67-4.02
Ac 0.0000 0.5000 0.7446  6 Sb 3.61-3.66, 2 Bi 3.61, 9 Li 3.67-4.02
Bi 0.5000 0.5000 0.5000  4 Li 2.76
Sb 0.0000 0.0000 0.5000  4 Li 2.76
Sb 0.5000 0.0000 0.8631  5 Li 2.63-2.84
Sb 0.0000 0.5000 0.1369  5 Li 2.63-2.84

Computed properties:
Raw formation energy in eV per formula unit: -7.9
Calculated density in g cm⁻³: 6.861
Symmetry: P-4m2
Calculated volume in Å³/atom: 25.56

***

# 3
Computed, not measured: a relaxed Li4Ac2Bi3Sb crystal at the GGA-PBE level of DFT.

a = 4.8804 Å, b = 4.8804 Å, c = 11.1639 Å
α = 90.00°, β = 90.00°, γ = 90.00°
With the nearest neighbours (Å) after each atom.
Fractional coordinates of all 10 atoms:
Li 0.5000 0.5000 0.0000  4 Bi 2.90
Li 0.0000 0.0000 0.0000  4 Bi 2.90
Li 0.5000 0.0000 0.6183  3 Bi 2.69-2.77, 2 Sb 2.77
Li 0.0000 0.5000 0.3817  3 Bi 2.69-2.77, 2 Sb 2.77
Ac 0.5000 0.0000 0.2623  2 Sb 3.60, 6 Bi 3.60-3.71, 9 Li 3.70-3.97
Ac 0.0000 0.5000 0.7377  6 Bi 3.60-3.71, 2 Sb 3.60, 9 Li 3.70-3.97
Bi 0.0000 0.0000 0.5000  4 Li 2.77
Bi 0.5000 0.0000 0.8595  5 Li 2.69-2.90
Bi 0.0000 0.5000 0.1405  5 Li 2.69-2.90
Sb 0.5000 0.5000 0.5000  4 Li 2.77

Computed properties:
Raw formation energy in eV per formula unit: -7.1
Calculated density in g cm⁻³: 7.684
Symmetry: P-4m2
Calculated volume in Å³/atom: 26.59

***

# 4
Computed, not measured: a relaxed LiAcScBi crystal at the GGA-PBE level of DFT.

a = 5.4746 Å, b = 5.4746 Å, c = 5.4746 Å
α = 60.00°, β = 60.00°, γ = 60.00°
With the nearest neighbours (Å) after each atom.
Fractional coordinates of all 4 atoms:
Sc 0.2500 0.2500 0.2500  4 Li 3.35, 4 Bi 3.35
Ac 0.7500 0.7500 0.7500  4 Bi 3.35, 4 Li 3.35
Bi 0.5000 0.5000 0.5000  4 Ac 3.35, 4 Sc 3.35
Li 0.0000 0.0000 0.0000  4 Sc 3.35, 4 Ac 3.35

Computed properties:
Calculated density in g cm⁻³: 6.983
Symmetry: F-43m
Energy of formation in eV/atom: -0.20
Calculated volume in Å³/atom: 29.01